Record 1
VASP calculation (PBE) on a relaxed structure of ReMo4Os.

a = 5.119 Å, b = 5.119 Å, c = 5.119 Å
α = 60.00°, β = 60.00°, γ = 60.00°
Sites, in units of the cell vectors:
Mo: 0.876 0.375 0.375
Mo: 0.375 0.375 0.375
Mo: 0.375 0.375 0.876
Mo: 0.375 0.876 0.375
Os: 0.750 0.750 0.750
Re: 0.000 0.000 0.000

ΔH_f (0 K) ... 223.7 kJ/mol of formula units
Mass density ... 13.306 Mg/m³
Magnetic moment ... 0.000 μB/atom
V ... 95 Å³ per cell

=====

Record 2
VASP calculation (PBE) on a relaxed structure of ReMoOs2.

a = 4.774 Å, b = 4.774 Å, c = 4.774 Å
α = 131.69°, β = 131.69°, γ = 70.72°
Sites, in units of the cell vectors:
Os: 0.000 0.000 0.000
Os: 0.500 0.500 0.000
Mo: 0.750 0.250 0.500
Re: 0.250 0.750 0.500

ΔH_f (0 K) ... 17.4 kJ/mol of formula units
Mass density ... 18.512 Mg/m³
Magnetic moment ... 0.000 μB/atom
V ... 59 Å³ per cell

=====

Record 3
VASP calculation (PBE) on a relaxed structure of Re2MoOs.

a = 3.235 Å, b = 3.235 Å, c = 5.867 Å
α = 90.00°, β = 90.00°, γ = 90.00°
Sites, in units of the cell vectors:
Mo: 0.000 0.000 0.519
Os: 0.500 0.500 0.729
Re: 0.500 0.500 0.238
Re: 0.000 0.000 0.013

ΔH_f (0 K) ... 123.8 kJ/mol of formula units
Mass density ... 17.815 Mg/m³
Magnetic moment ... 0.000 μB/atom
V ... 61 Å³ per cell

=====

Record 4
VASP calculation (PBE) on a relaxed structure of ScReMoOs.

a = 4.474 Å, b = 4.474 Å, c = 4.474 Å
α = 60.00°, β = 60.00°, γ = 60.00°
Sites, in units of the cell vectors:
Re: 0.750 0.750 0.750
Os: 0.250 0.250 0.250
Mo: 0.500 0.500 0.500
Sc: 0.000 0.000 0.000

ΔH_f (0 K) ... -57.4 kJ/mol of formula units
Mass density ... 13.569 Mg/m³
Magnetic moment ... 0.000 μB/atom
V ... 63 Å³ per cell